Record 1
# Re2PtRhW

A relaxed structure of Re2PtRhW (PBE, the Alexandria database).

Cell lengths 4.6447, 4.6447, 4.7102 Å; angles 90.00, 90.00, 90.00 degrees
Fractional coordinates of all 5 atoms:
Re1 0.0000 0.5000 0.0000
Re2 0.5000 0.0000 0.0000
Pt1 0.0000 0.0000 0.0000
Rh1 0.0000 0.0000 0.5000
W1 0.5000 0.5000 0.5000

Calculated values
**Formation energy**: 12.34 eV/f.u.
**DOS(E_F)**: 8.52 states/eV/cell
**Space group**: P4/mmm, No. 123


Record 2
# Pa2CuNi

A relaxed structure of Pa2CuNi (PBE, the Alexandria database).

Cell lengths 3.0317, 3.0317, 29.5029 Å; angles 90.00, 90.00, 120.00 degrees
Fractional coordinates of all 12 atoms:
Pa1 0.0000 0.0000 0.0850
Pa2 0.0000 0.0000 0.9150
Pa3 0.3333 0.6667 0.5816
Pa4 0.3333 0.6667 0.7517
Pa5 0.6667 0.3333 0.2483
Pa6 0.6667 0.3333 0.4184
Cu1 0.0000 0.0000 0.5000
Cu2 0.3333 0.6667 0.1667
Cu3 0.6667 0.3333 0.8333
Ni1 0.0000 0.0000 0.0000
Ni2 0.3333 0.6667 0.6667
Ni3 0.6667 0.3333 0.3333

Calculated values
**E above lowest polymorph**: 426.7 meV per atom
**Formation energy**: 1.47 eV/f.u.
**DOS(E_F)**: 14.65 states/eV/cell
**Space group**: R-3m, No. 166


Record 3
# PmNpScO6

A relaxed structure of PmNpScO6 (PBE, the Alexandria database).

Cell lengths 5.5552, 5.5552, 9.8902 Å; angles 90.00, 90.00, 120.00 degrees
Fractional coordinates of all 18 atoms:
Pm1 0.0000 0.0000 0.0000
Pm2 0.0000 0.0000 0.5000
Np1 0.3333 0.6667 0.2500
Np2 0.6667 0.3333 0.7500
Sc1 0.3333 0.6667 0.7500
Sc2 0.6667 0.3333 0.2500
O1 0.0073 0.3588 0.1391
O2 0.0073 0.6485 0.3609
O3 0.3515 0.3588 0.3609
O4 0.3515 0.9927 0.1391
O5 0.3588 0.0073 0.6391
O6 0.3588 0.3515 0.8609
O7 0.6412 0.6485 0.1391
O8 0.6412 0.9927 0.3609
O9 0.6485 0.0073 0.8609
O10 0.6485 0.6412 0.6391
O11 0.9927 0.3515 0.6391
O12 0.9927 0.6412 0.8609

Calculated values
**Space group**: P-31c, No. 163
**Uncorrected formation energy**: -3.20 eV/atom


Record 4
# K2SrHg4

A relaxed structure of K2SrHg4 (PBE, the Alexandria database).

Cell lengths 8.9734, 5.1560, 11.7873 Å; angles 90.00, 104.40, 90.00 degrees
Fractional coordinates of all 14 atoms:
K1 0.1150 0.0000 0.3547
K2 0.3850 0.5000 0.6453
K3 0.6150 0.5000 0.3547
K4 0.8850 0.0000 0.6453
Sr1 0.0000 0.0000 0.0000
Sr2 0.5000 0.5000 0.0000
Hg1 0.1133 0.5000 0.8345
Hg2 0.2198 0.5000 0.1659
Hg3 0.2802 0.0000 0.8341
Hg4 0.3867 0.0000 0.1655
Hg5 0.6133 0.0000 0.8345
Hg6 0.7198 0.0000 0.1659
Hg7 0.7802 0.5000 0.8341
Hg8 0.8867 0.5000 0.1655

Calculated values
**Formation energy**: -2.28 eV/f.u.
**DOS(E_F)**: 8.40 states/eV/cell
**Space group**: C2/m, No. 12


Record 5
# ZnGaO2

A relaxed structure of ZnGaO2 (PBE, the Alexandria database).

Cell lengths 5.5322, 5.5322, 5.5322 Å; angles 90.00, 90.00, 90.00 degrees
Fractional coordinates of all 16 atoms:
Zn1 0.0000 0.0000 0.0000
Zn2 0.0000 0.5000 0.5000
Zn3 0.5000 0.0000 0.5000
Zn4 0.5000 0.5000 0.0000
Ga1 0.0000 0.0000 0.5000
Ga2 0.0000 0.5000 0.0000
Ga3 0.5000 0.0000 0.0000
Ga4 0.5000 0.5000 0.5000
O1 0.2500 0.2500 0.2500
O2 0.2500 0.2500 0.7500
O3 0.2500 0.7500 0.2500
O4 0.2500 0.7500 0.7500
O5 0.7500 0.2500 0.2500
O6 0.7500 0.2500 0.7500
O7 0.7500 0.7500 0.2500
O8 0.7500 0.7500 0.7500

Calculated values
**E above lowest polymorph**: 807.9 meV per atom
**DOS(E_F)**: 4.36 states/eV/cell
**Space group**: Fm-3m, No. 225
**Uncorrected formation energy**: -0.51 eV/atom


Record 6
# Li4EuGd

A relaxed structure of Li4EuGd (PBE, the Alexandria database).

Cell lengths 6.0577, 6.0577, 6.0577 Å; angles 60.00, 60.00, 60.00 degrees
Fractional coordinates of all 6 atoms:
Li1 0.1237 0.1237 0.1237
Li2 0.1237 0.1237 0.6289
Li3 0.1237 0.6289 0.1237
Li4 0.6289 0.1237 0.1237
Eu1 0.5000 0.5000 0.5000
Gd1 0.7500 0.7500 0.7500

Calculated values
**Formation energy**: 0.50 eV/f.u.
**DOS(E_F)**: 7.39 states/eV/cell
**Space group**: F-43m, No. 216


Record 7
# KSr3Co

A relaxed structure of KSr3Co (PBE, the Alexandria database).

Cell lengths 6.7186, 6.7186, 6.7186 Å; angles 90.00, 90.00, 90.00 degrees
Fractional coordinates of all 5 atoms:
K1 0.0000 0.0000 0.0000
Sr1 0.0000 0.0000 0.5000
Sr2 0.0000 0.5000 0.0000
Sr3 0.5000 0.0000 0.0000
Co1 0.5000 0.5000 0.5000

Calculated values
**E above lowest polymorph**: 1200.5 meV per atom
**Formation energy**: 7.22 eV/f.u.
**DOS(E_F)**: 8.08 states/eV/cell
**Space group**: Pm-3m, No. 221


Record 8
# CeCdAg5

A relaxed structure of CeCdAg5 (PBE, the Alexandria database).

Cell lengths 9.0583, 5.6939, 11.4460 Å; angles 90.00, 90.00, 90.00 degrees
Fractional coordinates of all 28 atoms:
Ce1 0.2429 0.2500 0.0628
Ce2 0.2571 0.7500 0.5628
Ce3 0.7429 0.2500 0.4372
Ce4 0.7571 0.7500 0.9372
Cd1 0.1429 0.7500 0.8550
Cd2 0.3571 0.2500 0.3550
Cd3 0.6429 0.7500 0.6450
Cd4 0.8571 0.2500 0.1450
Ag1 0.0638 0.0077 0.3079
Ag2 0.0638 0.4923 0.3079
Ag3 0.0645 0.7500 0.0896
Ag4 0.0989 0.2500 0.5186
Ag5 0.1846 0.2500 0.7589
Ag6 0.3154 0.7500 0.2589
Ag7 0.4011 0.7500 0.0186
Ag8 0.4355 0.2500 0.5896
Ag9 0.4362 0.5077 0.8079
Ag10 0.4362 0.9923 0.8079
Ag11 0.5638 0.0077 0.1921
Ag12 0.5638 0.4923 0.1921
Ag13 0.5645 0.7500 0.4104
Ag14 0.5989 0.2500 0.9814
Ag15 0.6846 0.2500 0.7411
Ag16 0.8154 0.7500 0.2411
Ag17 0.9011 0.7500 0.4814
Ag18 0.9355 0.2500 0.9104
Ag19 0.9362 0.5077 0.6921
Ag20 0.9362 0.9923 0.6921

Calculated values
**Formation energy**: -0.74 eV/f.u.
**DOS(E_F)**: 37.51 states/eV/cell
**Space group**: Pnma, No. 62


Record 9
# BeCd2Co

A relaxed structure of BeCd2Co (PBE, the Alexandria database).

Cell lengths 2.9146, 2.9146, 7.0521 Å; angles 90.00, 90.00, 90.00 degrees
Fractional coordinates of all 4 atoms:
Be1 0.0000 0.0000 0.0000
Cd1 0.0000 0.0000 0.6211
Cd2 0.5000 0.5000 0.2741
Co1 0.5000 0.5000 0.8867

Calculated values
**Formation energy**: 0.41 eV/f.u.
**DOS(E_F)**: 1.62 states/eV/cell
**Space group**: P4mm, No. 99


Record 10
# BaThP2S8

A relaxed structure of BaThP2S8 (PBE, the Alexandria database).

Cell lengths 6.1432, 6.1432, 9.3462 Å; angles 90.00, 90.00, 120.00 degrees
Fractional coordinates of all 12 atoms:
Ba1 0.0000 0.0000 0.0000
Th1 0.0000 0.0000 0.5000
P1 0.3333 0.6667 0.7604
P2 0.6667 0.3333 0.2396
S1 0.0042 0.3554 0.6900
S2 0.3333 0.6667 0.9740
S3 0.3512 0.9958 0.6900
S4 0.3554 0.3512 0.3100
S5 0.6446 0.6488 0.6900
S6 0.6488 0.0042 0.3100
S7 0.6667 0.3333 0.0260
S8 0.9958 0.6446 0.3100

Calculated values
**DOS(E_F)**: 0.00 states/eV/cell
**Space group**: P-3, No. 147
**Uncorrected formation energy**: -0.94 eV/atom


Record 11
# LaAlTl2

A relaxed structure of LaAlTl2 (PBE, the Alexandria database).

Cell lengths 6.6543, 11.2241, 3.4178 Å; angles 90.00, 117.39, 90.00 degrees
Fractional coordinates of all 8 atoms:
La1 0.0000 0.0000 0.0000
La2 0.5000 0.5000 0.0000
Al1 0.0000 0.5000 0.0000
Al2 0.5000 0.0000 0.0000
Tl1 0.2500 0.2500 0.5000
Tl2 0.2500 0.7500 0.5000
Tl3 0.7500 0.2500 0.5000
Tl4 0.7500 0.7500 0.5000

Calculated values
**E above lowest polymorph**: 220.1 meV per atom
**Formation energy**: -0.22 eV/f.u.
**DOS(E_F)**: 6.05 states/eV/cell
**Space group**: C2/m, No. 12


Record 12
# NdTh2ZrAs4

A relaxed structure of NdTh2ZrAs4 (PBE, the Alexandria database).

Cell lengths 7.1743, 4.1684, 7.2299 Å; angles 90.00, 109.47, 90.00 degrees
Fractional coordinates of all 8 atoms:
Nd1 0.0000 0.0000 0.0000
Th1 0.5000 0.0000 0.5000
Th2 0.5000 0.5000 0.0000
Zr1 0.0000 0.5000 0.5000
As1 0.2354 0.0000 0.7354
As2 0.2428 0.5000 0.2578
As3 0.7572 0.5000 0.7422
As4 0.7646 0.0000 0.2646

Calculated values
**Formation energy**: -10.59 eV/f.u.
**DOS(E_F)**: 3.26 states/eV/cell
**Space group**: P2/m, No. 10


Record 13
# SmHfCu2

A relaxed structure of SmHfCu2 (PBE, the Alexandria database).

Cell lengths 6.7759, 6.7759, 6.7759 Å; angles 90.00, 90.00, 90.00 degrees
Fractional coordinates of all 16 atoms:
Sm1 0.0000 0.0000 0.0000
Sm2 0.0000 0.5000 0.5000
Sm3 0.5000 0.0000 0.5000
Sm4 0.5000 0.5000 0.0000
Hf1 0.0000 0.0000 0.5000
Hf2 0.0000 0.5000 0.0000
Hf3 0.5000 0.0000 0.0000
Hf4 0.5000 0.5000 0.5000
Cu1 0.2500 0.2500 0.2500
Cu2 0.2500 0.2500 0.7500
Cu3 0.2500 0.7500 0.2500
Cu4 0.2500 0.7500 0.7500
Cu5 0.7500 0.2500 0.2500
Cu6 0.7500 0.2500 0.7500
Cu7 0.7500 0.7500 0.2500
Cu8 0.7500 0.7500 0.7500

Calculated values
**E above lowest polymorph**: 94.2 meV per atom
**Formation energy**: -0.10 eV/f.u.
**DOS(E_F)**: 17.03 states/eV/cell
**Space group**: Fm-3m, No. 225